The following is a DFT calculation (PBE) of InCu2Sb2 after structural relaxation.

Computed properties:
ρ = 7.18 g/cm³
ΔE_f (raw) = 0.22 eV per atom
E above lowest polymorph = 91 meV/atom

a = 6.610 Å, b = 6.610 Å, c = 6.610 Å
α = 141.26°, β = 141.26°, γ = 55.95°
Element x y z (fractional)
In1 0.000 0.000 0.000
Cu1 0.395 0.395 0.000
Cu2 0.605 0.605 0.000
Sb1 0.250 0.750 0.500
Sb2 0.750 0.250 0.500